CoPt2O: relaxed, GGA+U.

total moment	5.628	Bohr magnetons per cell
space group	No. 122
crystal system	tetragonal
VASP energy	-5.10	eV/atom

Lattice parameters (Å, degrees): 6.5714 6.5714 5.3195 51.85 51.85 90.00
With the nearest neighbours (Å) after each atom.
Atoms (fractional coordinates):
O 0.2500 0.7500 0.5000  4 Pt 2.20
Co 0.7500 0.2500 0.5000  2 O 2.59, 8 Pt 2.64-2.87
Co 0.0000 0.0000 0.0000  2 O 2.59, 8 Pt 2.64-2.87
Pt 0.1741 0.6250 0.2500  2 O 2.20
O 0.5000 0.5000 0.0000  4 Pt 2.20
Pt 0.5759 0.1250 0.2500  2 O 2.20
Pt 0.3750 0.4241 0.7500  2 O 2.20
Pt 0.8750 0.8259 0.7500  2 O 2.20